Run P
# Li3NbV2O6

Crystalline Li3NbV2O6 at its relaxed geometry (PBEsol, Alexandria via LeMat-Bulk).

## Properties
The density of states at the Fermi level comes out at 0.227 states/eV per atom.

a = 5.628 Å, b = 6.621 Å, c = 6.752 Å
α = 100.29°, β = 115.57°, γ = 102.03°
Fractional positions:
1 Li 0.000 0.000 0.500
2 Li 0.500 0.000 0.500
3 Li 0.994 0.665 0.166
4 Li 0.497 0.652 0.184
5 Li 0.006 0.335 0.834
6 Li 0.503 0.348 0.816
7 Nb 0.265 0.990 0.994
8 Nb 0.735 0.010 0.006
9 V 0.785 0.658 0.663
10 V 0.770 0.320 0.319
11 V 0.230 0.680 0.681
12 V 0.215 0.342 0.337
13 O 0.129 0.655 0.931
14 O 0.619 0.671 0.887
15 O 0.871 0.345 0.069
16 O 0.381 0.329 0.113
17 O 0.120 0.343 0.582
18 O 0.623 0.354 0.562
19 O 0.880 0.657 0.418
20 O 0.377 0.646 0.438
21 O 0.135 0.021 0.252
22 O 0.635 0.998 0.278
23 O 0.865 0.979 0.748
24 O 0.365 0.002 0.722

=====

Run Q
# Li3NbV2O6

Crystalline Li3NbV2O6 at its relaxed geometry (PBEsol, Alexandria via LeMat-Bulk).

## Properties
The density of states at the Fermi level comes out at 0.430 states/eV per atom.

a = 2.822 Å, b = 6.030 Å, c = 6.680 Å
α = 108.93°, β = 102.20°, γ = 90.00°
Fractional positions:
1 Li 0.500 0.500 0.000
2 Li 0.169 0.818 0.338
3 Li 0.831 0.182 0.662
4 Nb 0.500 0.000 0.000
5 V 0.156 0.312 0.313
6 V 0.844 0.688 0.687
7 O 0.674 0.092 0.347
8 O 0.326 0.908 0.653
9 O 0.323 0.443 0.646
10 O 0.677 0.557 0.354
11 O 0.003 0.734 0.007
12 O 0.997 0.266 0.993

=====

Last place for stability: run Q

=====

Run P
# Li2NbV3O8

Crystalline Li2NbV3O8 at its relaxed geometry (PBEsol, Alexandria via LeMat-Bulk).

## Properties
The density of states at the Fermi level comes out at 0.559 states/eV per atom.

a = 8.296 Å, b = 8.296 Å, c = 8.296 Å
α = 90.00°, β = 90.00°, γ = 90.00°
Fractional positions:
1 Li 0.000 0.000 0.000
2 Li 0.250 0.250 0.250
3 Li 0.250 0.750 0.750
4 Li 0.500 0.000 0.500
5 Li 0.500 0.500 0.000
6 Li 0.750 0.250 0.750
7 Li 0.750 0.750 0.250
8 Li 0.000 0.500 0.500
9 Nb 0.125 0.875 0.375
10 Nb 0.375 0.125 0.875
11 Nb 0.625 0.625 0.625
12 Nb 0.875 0.375 0.125
13 V 0.118 0.132 0.625
14 V 0.125 0.382 0.868
15 V 0.132 0.625 0.118
16 V 0.368 0.375 0.618
17 V 0.375 0.618 0.368
18 V 0.382 0.868 0.125
19 V 0.618 0.368 0.375
20 V 0.625 0.118 0.132
21 V 0.632 0.875 0.882
22 V 0.868 0.125 0.382
23 V 0.875 0.882 0.632
24 V 0.882 0.632 0.875
25 O 0.109 0.121 0.385
26 O 0.115 0.891 0.621
27 O 0.118 0.618 0.882
28 O 0.129 0.141 0.865
29 O 0.121 0.385 0.109
30 O 0.132 0.368 0.632
31 O 0.135 0.629 0.359
32 O 0.141 0.865 0.129
33 O 0.359 0.135 0.629
34 O 0.365 0.371 0.859
35 O 0.368 0.632 0.132
36 O 0.379 0.615 0.609
37 O 0.371 0.859 0.365
38 O 0.382 0.382 0.382
39 O 0.385 0.109 0.121
40 O 0.391 0.879 0.885
41 O 0.609 0.379 0.615
42 O 0.615 0.609 0.379
43 O 0.618 0.882 0.118
44 O 0.629 0.359 0.135
45 O 0.621 0.115 0.891
46 O 0.632 0.132 0.368
47 O 0.635 0.871 0.641
48 O 0.641 0.635 0.871
49 O 0.859 0.365 0.371
50 O 0.865 0.129 0.141
51 O 0.868 0.868 0.868
52 O 0.879 0.885 0.391
53 O 0.871 0.641 0.635
54 O 0.882 0.118 0.618
55 O 0.885 0.391 0.879
56 O 0.891 0.621 0.115

=====

Run Q
# Li2NbV3O8

Crystalline Li2NbV3O8 at its relaxed geometry (PBEsol, Alexandria via LeMat-Bulk).

## Properties
The density of states at the Fermi level comes out at 0.400 states/eV per atom.

a = 5.789 Å, b = 5.789 Å, c = 9.700 Å
α = 90.00°, β = 90.00°, γ = 120.00°
Fractional positions:
1 Li 0.333 0.667 0.603
2 Li 0.000 0.000 0.508
3 Li 0.000 0.000 0.008
4 Li 0.667 0.333 0.103
5 Nb 0.333 0.667 0.008
6 Nb 0.667 0.333 0.508
7 V 0.176 0.824 0.284
8 V 0.649 0.824 0.284
9 V 0.176 0.351 0.284
10 V 0.824 0.649 0.784
11 V 0.351 0.176 0.784
12 V 0.824 0.176 0.784
13 O 0.166 0.834 0.901
14 O 0.485 0.970 0.157
15 O 0.333 0.667 0.402
16 O 0.000 0.000 0.196
17 O 0.000 0.000 0.696
18 O 0.668 0.834 0.901
19 O 0.030 0.515 0.157
20 O 0.485 0.515 0.157
21 O 0.834 0.668 0.401
22 O 0.166 0.332 0.901
23 O 0.515 0.485 0.657
24 O 0.970 0.485 0.657
25 O 0.667 0.333 0.902
26 O 0.332 0.166 0.401
27 O 0.515 0.030 0.657
28 O 0.834 0.166 0.401

=====

Last place for stability: run P